Material: NaTmPa4N8
Method: DFT, PBE
State: relaxed

Structure (CIF):
```
data_NaTmPa4N8
_chemical_formula_sum 'Na3 Tm3 Pa12 N24'
_cell_length_a 7.0893
_cell_length_b 7.0893
_cell_length_c 15.5335
_cell_angle_alpha 90.00
_cell_angle_beta 90.00
_cell_angle_gamma 120.00
_symmetry_space_group_name_H-M 'R 3 m'
_symmetry_Int_Tables_number 160
_symmetry_space_group_name_Hall 'R 3 -2"'
loop_
_atom_site_label
_atom_site_fract_x
_atom_site_fract_y
_atom_site_fract_z
Na1 0.0000 0.0000 0.0000
Tm1 0.0000 0.0000 0.6245
Pa1 0.0000 0.0000 0.4077
Pa2 0.1673 0.3345 0.8383
N1 0.0000 0.0000 0.2519
N2 0.0000 0.0000 0.7681
N3 0.0024 0.5012 0.2279
N4 0.0204 0.5102 0.7598
```

The raw formation energy is -1421 meV/atom. The density is 9.049 Mg/m³. For the raw total energy, the calculation gives -9.31 eV/atom. Its total magnetic moment is 0.00 Bohr magnetons per cell. Its density of states at the Fermi level is 0.00 states/eV/cell.

=====

Material: NaUPa2N6
Method: DFT, PBE
State: relaxed

Structure (CIF):
```
data_NaUPa2N6
_chemical_formula_sum 'Na3 U3 Pa6 N18'
_cell_length_a 5.9440
_cell_length_b 5.9440
_cell_length_c 15.3442
_cell_angle_alpha 90.00
_cell_angle_beta 90.00
_cell_angle_gamma 120.00
_symmetry_space_group_name_H-M 'R 3'
_symmetry_Int_Tables_number 146
_symmetry_space_group_name_Hall 'R 3'
loop_
_atom_site_label
_atom_site_fract_x
_atom_site_fract_y
_atom_site_fract_z
Na1 0.0000 0.0000 0.0000
U1 0.0000 0.0000 0.5265
Pa1 0.0000 0.0000 0.2291
Pa2 0.0000 0.0000 0.7383
N1 0.0169 0.3462 0.8090
N2 0.1038 0.7237 0.2933
```

The raw formation energy is -1129 meV/atom. The density is 8.563 Mg/m³. For the raw total energy, the calculation gives -9.28 eV/atom. Its total magnetic moment is 0.00 Bohr magnetons per cell. Its density of states at the Fermi level is 24.32 states/eV/cell.

=====

Material: Na3UPa3N8
Method: DFT, PBE
State: relaxed

Structure (CIF):
```
data_Na3UPa3N8
_chemical_formula_sum 'Na9 U3 Pa9 N24'
_cell_length_a 7.1217
_cell_length_b 7.1217
_cell_length_c 17.0605
_cell_angle_alpha 90.00
_cell_angle_beta 90.00
_cell_angle_gamma 120.00
_symmetry_space_group_name_H-M 'R -3 m'
_symmetry_Int_Tables_number 166
_symmetry_space_group_name_Hall '-R 3 2"'
loop_
_atom_site_label
_atom_site_fract_x
_atom_site_fract_y
_atom_site_fract_z
Na1 0.0000 0.5000 0.0000
U1 0.0000 0.0000 0.5000
Pa1 0.0000 0.5000 0.5000
N1 0.0000 0.0000 0.2274
N2 0.0135 0.5067 0.2237
```

The raw formation energy is -1232 meV/atom. The density is 7.394 Mg/m³. For the raw total energy, the calculation gives -8.59 eV/atom. Its total magnetic moment is 0.00 Bohr magnetons per cell. Its density of states at the Fermi level is 0.00 states/eV/cell.

=====

Material: Na3UPa2N6
Method: DFT, PBE
State: relaxed

Structure (CIF):
```
data_Na3UPa2N6
_chemical_formula_sum 'Na6 U2 Pa4 N12'
_cell_length_a 6.174
_cell_length_b 10.698
_cell_length_c 6.047
_cell_angle_alpha 90.00
_cell_angle_beta 109.89
_cell_angle_gamma 90.00
_symmetry_space_group_name_H-M 'C 1 2/m 1'
_symmetry_Int_Tables_number 12
loop_
_symmetry_equiv_pos_as_xyz
'x,y,z'
'-x,-y,-z'
'-x,y,-z'
'x,-y,z'
'x+1/2,y+1/2,z'
'-x+1/2,-y+1/2,-z'
'-x+1/2,y+1/2,-z'
'x+1/2,-y+1/2,z'
loop_
_atom_site_label
_atom_site_fract_x
_atom_site_fract_y
_atom_site_fract_z
Na1 0.000 0.000 0.000
Na2 0.000 0.338 0.000
U1 0.000 0.500 0.500
Pa1 0.000 0.167 0.500
N1 0.225 0.335 0.681
N2 0.231 0.000 0.680
```

The raw formation energy is -1176 meV/atom. The density is 7.543 Mg/m³. For the raw total energy, the calculation gives -8.19 eV/atom. Its total magnetic moment is 2.14 Bohr magnetons per cell. Its density of states at the Fermi level is 0.15 states/eV/cell.

=====

Material: NaUPa4N8
Method: DFT, PBE
State: relaxed

Structure (CIF):
```
data_NaUPa4N8
_chemical_formula_sum 'Na3 U3 Pa12 N24'
_cell_length_a 7.1085
_cell_length_b 7.1085
_cell_length_c 15.6654
_cell_angle_alpha 90.00
_cell_angle_beta 90.00
_cell_angle_gamma 120.00
_symmetry_space_group_name_H-M 'R 3 m'
_symmetry_Int_Tables_number 160
_symmetry_space_group_name_Hall 'R 3 -2"'
loop_
_atom_site_label
_atom_site_fract_x
_atom_site_fract_y
_atom_site_fract_z
Na1 0.0000 0.0000 0.0000
U1 0.0000 0.0000 0.3853
Pa1 0.0000 0.0000 0.6065
Pa2 0.0005 0.5002 0.4986
N1 0.0000 0.0000 0.2401
N2 0.0000 0.0000 0.7548
N3 0.0128 0.5064 0.7656
N4 0.1755 0.3510 0.5705
```

The raw formation energy is -1319 meV/atom. The density is 9.427 Mg/m³. For the raw total energy, the calculation gives -9.69 eV/atom. Its total magnetic moment is 8.67 Bohr magnetons per cell. Its density of states at the Fermi level is 25.51 states/eV/cell.

=====

Material: NaU4PaN8
Method: DFT, PBE
State: relaxed

Structure (CIF):
```
data_NaU4PaN8
_chemical_formula_sum 'Na3 U12 Pa3 N24'
_cell_length_a 6.9593
_cell_length_b 6.9593
_cell_length_c 15.8292
_cell_angle_alpha 90.00
_cell_angle_beta 90.00
_cell_angle_gamma 120.00
_symmetry_space_group_name_H-M 'R 3 m'
_symmetry_Int_Tables_number 160
_symmetry_space_group_name_Hall 'R 3 -2"'
loop_
_atom_site_label
_atom_site_fract_x
_atom_site_fract_y
_atom_site_fract_z
Na1 0.0000 0.0000 0.0000
U1 0.0000 0.0000 0.6187
U2 0.1671 0.3343 0.8351
Pa1 0.0000 0.0000 0.3916
N1 0.0000 0.0000 0.2453
N2 0.0000 0.0000 0.7613
N3 0.0209 0.5105 0.7639
N4 0.1730 0.3461 0.5678
```

The raw formation energy is -1143 meV/atom. The density is 9.891 Mg/m³. For the raw total energy, the calculation gives -9.90 eV/atom. Its total magnetic moment is 17.96 Bohr magnetons per cell. Its density of states at the Fermi level is 51.31 states/eV/cell.

=====

Material: Na2PaVN4
Method: DFT, PBE
State: relaxed

Structure (CIF):
```
data_Na2PaVN4
_chemical_formula_sum 'Na4 Pa2 V2 N8'
_cell_length_a 6.711
_cell_length_b 7.419
_cell_length_c 4.826
_cell_angle_alpha 90.00
_cell_angle_beta 90.00
_cell_angle_gamma 90.00
_symmetry_space_group_name_H-M 'P m n 21'
_symmetry_Int_Tables_number 31
loop_
_symmetry_equiv_pos_as_xyz
'x,y,z'
'-x+1/2,-y,z+1/2'
'-x,y,z'
'x+1/2,-y,z+1/2'
loop_
_atom_site_label
_atom_site_fract_x
_atom_site_fract_y
_atom_site_fract_z
Na1 0.247 0.127 0.000
Pa1 0.000 0.386 0.505
V1 0.000 0.688 0.946
N1 0.000 0.441 0.007
N2 0.000 0.665 0.579
N3 0.243 0.797 0.015
```

The raw formation energy is -874 meV/atom. The density is 5.307 Mg/m³. For the raw total energy, the calculation gives -7.69 eV/atom. Its total magnetic moment is 0.00 Bohr magnetons per cell. Its density of states at the Fermi level is 0.00 states/eV/cell.

=====

Material: Na4Pa3VN8
Method: DFT, PBE
State: relaxed

Structure (CIF):
```
data_Na4Pa3VN8
_chemical_formula_sum 'Na12 Pa9 V3 N24'
_cell_length_a 6.8526
_cell_length_b 6.8526
_cell_length_c 17.0879
_cell_angle_alpha 90.00
_cell_angle_beta 90.00
_cell_angle_gamma 120.00
_symmetry_space_group_name_H-M 'R -3 m'
_symmetry_Int_Tables_number 166
_symmetry_space_group_name_Hall '-R 3 2"'
loop_
_atom_site_label
_atom_site_fract_x
_atom_site_fract_y
_atom_site_fract_z
Na1 0.0000 0.0000 0.0000
Na2 0.0000 0.5000 0.0000
Pa1 0.0000 0.5000 0.5000
V1 0.0000 0.0000 0.5000
N1 0.0000 0.0000 0.2314
N2 0.0214 0.5107 0.2277
```

The raw formation energy is -979 meV/atom. The density is 6.796 Mg/m³. For the raw total energy, the calculation gives -7.82 eV/atom. Its total magnetic moment is 0.00 Bohr magnetons per cell.